A geometry-optimized CsRbZnPO structure. Source: Alexandria, functional PBE.

Output
Uncorrected formation energy: -0.634 eV per atom
Uncorrected energy: -3.326 eV/atom
Calculated volume: 290.3 Å³/cell
Crystal system: monoclinic

Lattice parameters (Å, degrees): 15.878 4.596 3.977 90.00 90.15 90.00
Space group Cm (No. 8)
Unique sites:
1 Cs 0.000 0.000 0.000 x2
2 Rb 0.313 0.000 0.503 x2
3 Zn 0.203 0.500 0.002 x2
4 P 0.119 0.500 0.501 x2
5 O 0.320 0.500 0.004 x2